A plane-wave DFT calculation with GGA-PBE was carried out for a relaxed CaNb2Mo crystal.

Calculated values
distance to the lowest polymorph of the same formula: 0 meV per atom
total magnetic moment: 0.0 μB per formula unit

The structure in CIF format:
```
data_CaNb2Mo
_chemical_formula_sum 'Ca4 Nb8 Mo4'
_cell_length_a 6.7582
_cell_length_b 6.7582
_cell_length_c 6.7582
_cell_angle_alpha 90.00
_cell_angle_beta 90.00
_cell_angle_gamma 90.00
_space_group_name_H-M_alt 'F m -3 m'
_space_group_IT_number 225
_space_group_name_Hall '-F 4 2 3'
loop_
_atom_site_label
_atom_site_fract_x
_atom_site_fract_y
_atom_site_fract_z
Ca1 0.0000 0.0000 0.0000
Nb1 0.2500 0.2500 0.2500
Mo1 0.0000 0.0000 0.5000
```